The following is a PBEsol calculation of a relaxed structure of BaZn2Cu, from Alexandria via LeMat-Bulk.

Output
ΔE_f ... -130 meV per atom
Raw total energy ... -2.542 eV/atom
Space-group type ... R-3m

The structure in extended XYZ format:
```
4
Lattice="-2.976 1.240 2.802 -3.816 -1.917 0.050 -0.285 -4.068 4.753" Properties=species:S:1:pos:R:3 pbc="T T T"
Zn -5.660 -2.876 5.027
Ba 0.000 0.000 0.000
Cu -3.539 -2.372 3.802
Zn -1.417 -1.869 2.577
```

***

The following is a PBEsol calculation of a relaxed structure of Li2NiOF2, from Alexandria via LeMat-Bulk.

Output
Energy relative to the elements, uncorrected ... -2.1135 eV per atom
Raw total energy ... -5.313 eV/atom
Space-group type ... P4/nmm

The structure in extended XYZ format:
```
12
Lattice="2.844 0.000 0.000 0.000 2.844 0.000 0.000 0.000 12.437" Properties=species:S:1:pos:R:3 pbc="T T T"
Ni 0.000 1.422 11.413
Ni 1.422 0.000 1.025
Li 0.000 1.422 7.204
F 0.000 1.422 9.190
Li 0.000 1.422 3.192
F 0.000 1.422 5.219
O 1.422 0.000 11.378
F 1.422 0.000 3.247
F 1.422 0.000 7.218
Li 1.422 0.000 9.246
O 0.000 1.422 1.060
Li 1.422 0.000 5.233
```

***

The following is a PBEsol calculation of a relaxed structure of TlP5, from Alexandria via LeMat-Bulk.

Output
ΔE_f ... 3 meV per atom
Raw total energy ... -5.262 eV/atom
Space-group type ... Pmc2_1

The structure in extended XYZ format:
```
24
Lattice="6.414 0.000 0.000 0.000 6.818 0.000 0.000 0.000 11.981" Properties=species:S:1:pos:R:3 pbc="T T T"
P 0.000 2.329 6.097
P 0.000 4.181 8.702
P 0.000 1.112 4.272
P 4.793 2.743 9.162
Tl 3.207 6.729 10.052
P 3.207 4.547 0.117
P 3.207 4.410 6.469
P 3.207 2.643 2.615
P 0.000 4.489 0.107
P 1.621 4.076 3.172
P 3.207 4.176 8.605
Tl 3.207 0.089 4.062
Tl 0.000 1.530 11.960
P 0.000 5.706 10.262
P 3.207 2.272 6.107
P 4.812 1.394 7.340
P 4.812 5.425 1.350
Tl 0.000 5.289 5.969
P 0.000 2.637 2.711
P 4.793 4.076 3.172
P 3.207 2.409 0.479
P 1.621 2.743 9.162
P 1.602 5.425 1.350
P 1.602 1.394 7.340
```

***

The following is a PBEsol calculation of a relaxed structure of AlAg3, from Alexandria via LeMat-Bulk.

Output
ΔE_f ... -72 meV per atom
Raw total energy ... -3.578 eV/atom
Space-group type ... Pmmn

The structure in extended XYZ format:
```
8
Lattice="2.920 0.000 0.000 0.000 3.826 0.000 0.000 0.000 11.573" Properties=species:S:1:pos:R:3 pbc="T T T"
Al 0.000 0.000 2.150
Ag 1.460 1.913 3.539
Al 1.460 1.913 9.424
Ag 1.460 1.913 6.529
Ag 1.460 1.913 0.754
Ag 0.000 0.000 5.045
Ag 0.000 0.000 10.819
Ag 0.000 0.000 8.034
```

***

The following is a PBEsol calculation of a relaxed structure of InTe2RhI, from Alexandria via LeMat-Bulk.

Output
Energy relative to the elements, uncorrected ... 1.1341 eV per atom
Raw total energy ... -2.854 eV/atom
Space-group type ... P4/mmm

The structure in extended XYZ format:
```
5
Lattice="5.529 0.000 0.000 0.000 5.529 0.000 0.000 0.000 5.652" Properties=species:S:1:pos:R:3 pbc="T T T"
I 0.000 0.000 2.826
In 0.000 0.000 0.000
Te 0.000 2.765 0.000
Te 2.765 0.000 0.000
Rh 2.765 2.765 2.826
```

***

The following is a PBEsol calculation of a relaxed structure of HgBr2, from Alexandria via LeMat-Bulk.

Output
Energy relative to the elements, uncorrected ... -0.3784 eV per atom
Raw total energy ... -1.814 eV/atom
Space-group type ... Pnnm

The structure in extended XYZ format:
```
6
Lattice="-1.924 -0.287 3.508 -3.461 -5.186 -2.322 5.343 -4.706 2.545" Properties=species:S:1:pos:R:3 pbc="T T T"
Br 0.996 -8.162 2.172
Br -1.038 -2.017 1.559
Br 2.496 -4.375 1.011
Hg -0.021 -5.089 1.866
Br -0.614 -5.517 -0.788
Hg 0.000 0.000 0.000
```

***

Copy entry 4 word for word.
The following is a PBEsol calculation of a relaxed structure of AlAg3, from Alexandria via LeMat-Bulk.

Output
ΔE_f ... -72 meV per atom
Raw total energy ... -3.578 eV/atom
Space-group type ... Pmmn

The structure in extended XYZ format:
```
8
Lattice="2.920 0.000 0.000 0.000 3.826 0.000 0.000 0.000 11.573" Properties=species:S:1:pos:R:3 pbc="T T T"
Al 0.000 0.000 2.150
Ag 1.460 1.913 3.539
Al 1.460 1.913 9.424
Ag 1.460 1.913 6.529
Ag 1.460 1.913 0.754
Ag 0.000 0.000 5.045
Ag 0.000 0.000 10.819
Ag 0.000 0.000 8.034
```

***

> The highest raw total energy belongs to which entry?

HgBr2